No. 1
! La4InPd PBE relaxed; values from VASP
! V = 31.0 A^3/atom
! M_tot = 0.00 μB/f.u.
! energy above the lowest structure with this stoichiometry = 0.293 eV per formula unit
! space-group type = C2/c (15)
! ΔE_f = -0.418 eV/atom
&SYSTEM
  ibrav = 0, nat = 12, ntyp = 3
/
ATOMIC_SPECIES
La 138.91 La.upf
In 114.82 In.upf
Pd 106.42 Pd.upf
CELL_PARAMETERS angstrom
-5.7421 -1.2117 -1.7602
5.2385 -1.4880 -6.8210
1.0607 -5.5825 6.4241
ATOMIC_POSITIONS angstrom
La 1.6389 -5.0872 3.9313
La -0.1106 -5.3948 -2.1250
La 2.5983 -6.0153 0.5521
La 3.4735 -5.2307 -2.9505
La -2.9165 -3.0515 0.7933
La -2.0412 -2.2669 -2.7093
La 0.6676 -2.8873 -0.0322
La -1.0818 -3.1949 -6.0885
In 1.3708 -2.6504 -3.3571
In -0.8138 -5.6317 1.1999
Pd -1.4283 -0.3647 -0.4210
Pd 1.9854 -7.9174 -1.7361

=====

No. 2
! La11In9Pd4 PBE relaxed; values from VASP
! V = 28.3 A^3/atom
! M_tot = 0.00 μB/f.u.
! space-group type = Cmmm (65)
! ΔE_f = -0.672 eV/atom
&SYSTEM
  ibrav = 0, nat = 24, ntyp = 3
/
ATOMIC_SPECIES
La 138.91 La.upf
In 114.82 In.upf
Pd 106.42 Pd.upf
CELL_PARAMETERS angstrom
-1.5706 3.5767 -0.2898
-5.9160 -1.6060 12.2400
12.4798 5.5532 0.9017
ATOMIC_POSITIONS angstrom
La 8.1679 4.2349 7.9995
La -1.6042 -0.2877 5.1421
La 1.7872 1.7517 11.9323
La 4.7765 2.1955 1.2094
La 0.9383 1.0615 8.0153
La 5.6255 2.8857 5.1264
La -2.9478 -0.4508 10.4105
La 9.5115 4.3980 2.7312
La 0.0000 0.0000 0.0000
La 4.5342 2.7267 9.0782
La 2.0295 1.2205 4.0635
In -2.5000 1.6757 7.7575
In 7.4932 5.8481 5.0944
In 6.1580 5.0452 2.4211
In -1.1648 2.4787 10.4308
In 6.0977 5.6532 10.2504
In -1.1045 1.8707 2.6014
In 3.5119 4.6468 11.8442
In 1.4813 2.8770 1.0077
In 2.4966 3.7619 6.4259
Pd 5.3709 5.0949 7.3001
Pd -0.3777 2.4289 5.5517
Pd 1.6431 3.6442 9.5977
Pd 3.3501 3.8797 3.2541

=====

No. 3
! La3In7Pd4 PBE relaxed; values from VASP
! V = 23.7 A^3/atom
! M_tot = 0.00 μB/f.u.
! space-group type = C2/m (12)
! ΔE_f = -0.659 eV/atom
&SYSTEM
  ibrav = 0, nat = 14, ntyp = 3
/
ATOMIC_SPECIES
La 138.91 La.upf
In 114.82 In.upf
Pd 106.42 Pd.upf
CELL_PARAMETERS angstrom
4.4608 0.0000 1.1253
1.6103 8.0608 3.0206
0.0348 0.1503 9.2658
ATOMIC_POSITIONS angstrom
La 1.6848 1.5100 2.7254
La 4.4211 6.7011 10.6864
La 0.8226 4.1056 6.1432
In 2.7815 6.8090 7.7819
In 2.5975 1.9207 8.5113
In 4.4086 3.2987 10.7361
In 3.3244 1.4021 5.6299
In 1.6973 4.9125 2.6757
In 0.0000 0.0000 0.0000
In 3.5084 6.2905 4.9004
Pd 3.6896 3.6769 4.1822
Pd 2.4163 4.5343 9.2295
Pd 5.3836 7.2601 6.8712
Pd 0.7223 0.9510 6.5406